Version w
Material: Ce2ErGe
Method: DFT, GGA-PBE
State: relaxed

Lattice parameters (Å, degrees): 5.054 4.358 4.358 90.00 90.00 90.00
Site moments in Bohr magnetons follow the coordinates.
Element x y z (fractional)
Ce (0.000, 0.500, 0.000)  0.07
Ce (0.000, 0.000, 0.500)  0.07
Er (0.500, 0.500, 0.500)  0.01
Ge (0.500, 0.000, 0.000)  0.00

Computed properties:
V: 96 Å³/cell
space group: P4/mmm (123)
magnetic moment: 0.20 μB/cell

=====

Version x
Material: Ce2ErGe
Method: DFT, GGA-PBE
State: relaxed

Lattice parameters (Å, degrees): 4.272 4.242 11.121 90.00 100.65 90.00
Element x y z (fractional)
Er (0.696, 0.750, 0.395)
Ce (0.598, 0.250, 0.122)
Ge (0.176, 0.250, 0.337)
Ce (0.981, 0.250, 0.872)
Ce (0.402, 0.750, 0.878)
Er (0.304, 0.250, 0.605)
Ce (0.019, 0.750, 0.128)
Ge (0.824, 0.750, 0.663)

Computed properties:
V: 198 Å³/cell
space group: P2_1/m (11)
magnetic moment: 0.00 μB/cell

=====

Last place for stability: version w

=====

Version w
Material: CeErGePt
Method: DFT, GGA-PBE
State: relaxed

Lattice parameters (Å, degrees): 5.049 5.049 5.049 60.00 60.00 60.00
Site moments in Bohr magnetons follow the coordinates.
Element x y z (fractional)
Ge (0.250, 0.250, 0.250)  -0.01
Pt (0.750, 0.750, 0.750)  -0.02
Ce (0.500, 0.500, 0.500)  0.71
Er (0.000, 0.000, 0.000)  0.07

Computed properties:
V: 91 Å³/cell
space group: F-43m (216)
magnetic moment: 0.88 μB/cell

=====

Version x
Material: CeErGePt
Method: DFT, GGA-PBE
State: relaxed

Lattice parameters (Å, degrees): 4.531 4.531 10.417 90.00 90.00 90.00
Site moments in Bohr magnetons follow the coordinates.
Element x y z (fractional)
Pt (0.000, 0.500, 0.343)  0.01
Er (0.000, 0.000, 0.500)  0.04
Ge (0.000, 0.500, 0.111)  0.01
Ge (0.500, 0.000, 0.889)  0.01
Ce (0.500, 0.000, 0.162)  0.78
Pt (0.500, 0.000, 0.657)  0.01
Er (0.500, 0.500, 0.500)  0.04
Ce (0.000, 0.500, 0.838)  0.78

Computed properties:
V: 214 Å³/cell
space group: P4/nmm (129)
magnetic moment: 1.85 μB/cell

=====

Last place for stability: version x

=====

Version w
Material: CeErH2
Method: DFT, GGA-PBE
State: relaxed

Lattice parameters (Å, degrees): 3.457 3.457 6.143 73.66 73.66 60.00
Site moments in Bohr magnetons follow the coordinates.
Element x y z (fractional)
H (0.745, 0.745, 0.764)  0.00
Er (0.000, 0.000, 0.000)  0.10
Ce (0.500, 0.500, 0.500)  0.54
H (0.255, 0.255, 0.236)  0.00

Computed properties:
V: 60 Å³/cell
space group: R-3m (166)
magnetic moment: 0.77 μB/cell

=====

Version x
Material: CeErH2
Method: DFT, GGA-PBE
State: relaxed

Lattice parameters (Å, degrees): 3.387 3.387 6.350 74.53 74.53 60.00
Site moments in Bohr magnetons follow the coordinates.
Element x y z (fractional)
H (0.075, 0.075, 0.776)  0.00
H (0.262, 0.262, 0.214)  0.00
Er (0.670, 0.670, 0.991)  0.09
Ce (0.494, 0.494, 0.518)  0.55

Computed properties:
V: 60 Å³/cell
space group: R3m (160)
magnetic moment: 0.80 μB/cell

=====

Last place for stability: version x

=====

Version w
Material: CeEr2H
Method: DFT, GGA-PBE
State: relaxed

Lattice parameters (Å, degrees): 3.367 3.367 9.494 79.79 79.79 60.00
Site moments in Bohr magnetons follow the coordinates.
Element x y z (fractional)
H (0.500, 0.500, 0.500)  0.00
Er (0.118, 0.118, 0.645)  0.00
Ce (0.000, 0.000, 0.000)  0.59
Er (0.882, 0.882, 0.355)  0.00

Computed properties:
V: 91 Å³/cell
space group: R-3m (166)
magnetic moment: 0.74 μB/cell

=====

Version x
Material: CeEr2H
Method: DFT, GGA-PBE
State: relaxed

Lattice parameters (Å, degrees): 3.267 3.267 8.454 90.00 90.00 90.00
Site moments in Bohr magnetons follow the coordinates.
Element x y z (fractional)
Er (0.000, 0.000, 0.191)  0.03
Ce (0.500, 0.500, 0.500)  0.37
Er (0.000, 0.000, 0.809)  0.03
H (0.500, 0.500, 0.000)  0.00

Computed properties:
V: 90 Å³/cell
space group: P4/mmm (123)
magnetic moment: 0.54 μB/cell

=====

Last place for stability: version x

=====

Version w
Material: CeErHf
Method: DFT, GGA-PBE
State: relaxed

Lattice parameters (Å, degrees): 3.286 3.286 14.895 90.00 90.00 90.00
Site moments in Bohr magnetons follow the coordinates.
Element x y z (fractional)
Ce (0.000, 0.500, 0.233)  0.27
Er (0.000, 0.500, 0.588)  0.00
Hf (0.000, 0.500, 0.930)  0.00
Ce (0.500, 0.000, 0.767)  0.27
Hf (0.500, 0.000, 0.070)  0.00
Er (0.500, 0.000, 0.412)  0.00

Computed properties:
V: 161 Å³/cell
space group: P4/nmm (129)
magnetic moment: 0.60 μB/cell

=====

Version x
Material: CeErHf
Method: DFT, GGA-PBE
State: relaxed

Lattice parameters (Å, degrees): 3.328 3.328 8.274 90.00 90.00 120.00
Element x y z (fractional)
Er (0.000, 0.000, 0.988)
Ce (0.667, 0.333, 0.347)
Hf (0.333, 0.667, 0.665)

Computed properties:
V: 79 Å³/cell
space group: P3m1 (156)
magnetic moment: 0.00 μB/cell

=====

Last place for stability: version x

=====

Version w
Material: CeHo6Er3
Method: DFT, GGA-PBE
State: relaxed

Lattice parameters (Å, degrees): 6.426 7.740 8.259 94.08 67.10 65.47
Site moments in Bohr magnetons follow the coordinates.
Element x y z (fractional)
Ho (0.315, 0.180, 0.675)  0.05
Er (0.000, 0.000, 0.000)  0.03
Ho (0.257, 0.535, 0.951)  0.06
Ce (0.500, 0.500, 0.500)  0.85
Ho (0.829, 0.180, 0.675)  0.05
Er (0.779, 0.715, 0.728)  0.09
Ho (0.743, 0.465, 0.049)  0.06
Er (0.221, 0.285, 0.272)  0.09
Ho (0.171, 0.820, 0.325)  0.05
Ho (0.685, 0.820, 0.325)  0.05

Computed properties:
V: 331 Å³/cell
space group: C2/m (12)
magnetic moment: 1.80 μB/cell

=====

Version x
Material: CeHo6Er3
Method: DFT, GGA-PBE
State: relaxed

Lattice parameters (Å, degrees): 8.943 8.840 8.840 116.12 90.00 90.00
Site moments in Bohr magnetons follow the coordinates.
Element x y z (fractional)
Ce (0.595, 0.731, 0.269)  -0.74
Er (0.448, 0.212, 0.788)  -0.02
Er (0.161, 0.469, 0.186)  0.00
Er (0.661, 0.186, 0.469)  0.00
Ho (0.677, 0.956, 0.044)  -0.02
Ho (0.494, 0.799, 0.671)  -0.02
Ho (0.994, 0.201, 0.329)  -0.02
Ce (0.095, 0.269, 0.731)  -0.74
Ho (0.325, 0.669, 0.974)  -0.03
Er (0.161, 0.814, 0.531)  0.00
Ho (0.306, 0.444, 0.556)  -0.02
Ho (0.806, 0.556, 0.444)  -0.02
Ho (0.177, 0.044, 0.956)  -0.02
Er (0.948, 0.788, 0.212)  -0.02
Ho (0.994, 0.671, 0.799)  -0.02
Ho (0.825, 0.974, 0.669)  -0.03
Ho (0.825, 0.331, 0.026)  -0.03
Ho (0.325, 0.026, 0.331)  -0.03
Er (0.661, 0.531, 0.814)  0.00
Ho (0.494, 0.329, 0.201)  -0.02

Computed properties:
V: 628 Å³/cell
space group: Cmc2_1 (36)
magnetic moment: 2.16 μB/cell

=====

Last place for stability: version w

=====

Version w
Material: Ce2Ho12Er5
Method: DFT, GGA-PBE
State: relaxed

Lattice parameters (Å, degrees): 6.135 10.032 11.286 121.77 92.59 92.62
Element x y z (fractional)
Ho (0.474, 0.994, 0.340)
Ho (0.596, 0.672, 0.005)
Ho (0.612, 0.662, 0.331)
Ho (0.388, 0.338, 0.669)
Ho (0.890, 0.356, 0.528)
Ce (0.700, 0.975, 0.959)
Ho (0.110, 0.644, 0.472)
Ho (0.086, 0.672, 0.843)
Er (0.902, 0.333, 0.836)
Ho (0.526, 0.006, 0.660)
Er (0.423, 0.332, 0.338)
Er (0.000, 0.000, 0.500)
Ce (0.300, 0.025, 0.041)
Ho (0.404, 0.328, 0.995)
Ho (0.952, 0.033, 0.235)
Er (0.577, 0.668, 0.662)
Ho (0.048, 0.967, 0.765)
Ho (0.914, 0.328, 0.157)
Er (0.098, 0.667, 0.164)

Computed properties:
V: 588 Å³/cell
space group: P-1 (2)
magnetic moment: 0.00 μB/cell

=====

Version x
Material: Ce2Ho12Er5
Method: DFT, GGA-PBE
State: relaxed

Lattice parameters (Å, degrees): 9.138 12.122 8.532 132.63 90.00 112.14
Site moments in Bohr magnetons follow the coordinates.
Element x y z (fractional)
Ho (0.325, 0.292, 0.054)  -0.01
Ho (0.675, 0.708, 0.946)  -0.01
Er (0.713, 0.427, 0.389)  -0.01
Er (0.230, 0.461, 0.896)  0.02
Er (0.770, 0.539, 0.104)  0.02
Ho (0.967, 0.292, 0.054)  -0.01
Ho (0.176, 0.735, 0.420)  0.00
Ho (0.033, 0.708, 0.946)  -0.01
Ho (0.440, 0.880, 0.222)  -0.01
Er (0.287, 0.573, 0.611)  -0.01
Ce (0.649, 0.000, 0.000)  -0.41
Ho (0.560, 0.120, 0.778)  -0.01
Ho (0.068, 0.137, 0.265)  0.01
Ho (0.824, 0.265, 0.580)  0.00
Ho (0.441, 0.265, 0.580)  0.00
Ho (0.932, 0.863, 0.735)  0.01
Ce (0.351, 0.000, 0.000)  -0.41
Er (0.000, 0.000, 0.500)  0.00
Ho (0.559, 0.735, 0.420)  0.00

Computed properties:
V: 597 Å³/cell
space group: C2/m (12)
magnetic moment: 0.94 μB/cell

=====

Last place for stability: version x

=====

Version w
Material: CeHo3Er4
Method: DFT, GGA-PBE
State: relaxed

Lattice parameters (Å, degrees): 3.516 7.854 10.516 107.43 90.03 116.52
Site moments in Bohr magnetons follow the coordinates.
Element x y z (fractional)
Ce (0.500, 0.000, 0.000)  0.58
Er (0.371, 0.371, 0.249)  0.01
Er (0.248, 0.748, 0.497)  -0.02
Er (0.752, 0.252, 0.503)  -0.02
Ho (0.000, 0.500, 0.000)  0.00
Er (0.629, 0.629, 0.751)  0.01
Ho (0.877, 0.878, 0.249)  0.01
Ho (0.123, 0.122, 0.751)  0.01

Computed properties:
V: 245 Å³/cell
space group: P-1 (2)
magnetic moment: 0.70 μB/cell

=====

Version x
Material: CeHo3Er4
Method: DFT, GGA-PBE
State: relaxed

Lattice parameters (Å, degrees): 6.203 7.174 11.204 90.00 90.00 90.00
Site moments in Bohr magnetons follow the coordinates.
Element x y z (fractional)
Ho (0.979, 0.625, 0.250)  -0.05
Er (0.148, 0.874, 0.500)  -0.04
Er (0.984, 0.126, 0.250)  -0.04
Ho (0.979, 0.625, 0.750)  -0.05
Er (0.484, 0.874, 0.250)  -0.04
Er (0.984, 0.126, 0.750)  -0.04
Ho (0.479, 0.375, 0.750)  -0.05
Ce (0.147, 0.376, 0.000)  -0.73
Ce (0.647, 0.624, 0.500)  -0.73
Ho (0.149, 0.376, 0.500)  0.00
Ho (0.479, 0.375, 0.250)  -0.05
Er (0.484, 0.874, 0.750)  -0.04
Er (0.646, 0.125, 0.500)  -0.05
Er (0.648, 0.126, 0.000)  -0.04
Er (0.146, 0.875, 0.000)  -0.05
Ho (0.649, 0.624, 0.000)  0.00

Computed properties:
V: 499 Å³/cell
space group: Pmn2_1 (31)
magnetic moment: 2.48 μB/cell

=====

Last place for stability: version w

=====

Version w
Material: CeHo6Er8
Method: DFT, GGA-PBE
State: relaxed

Lattice parameters (Å, degrees): 6.454 9.335 9.335 120.00 90.00 90.00
Site moments in Bohr magnetons follow the coordinates.
Element x y z (fractional)
Ce (0.500, 0.000, 0.000)  0.93
Er (0.829, 0.333, 0.667)  -0.02
Ho (0.410, 0.094, 0.413)  0.02
Ho (0.590, 0.413, 0.319)  0.02
Er (0.905, 0.687, 0.662)  0.00
Ho (0.590, 0.906, 0.587)  0.02
Ho (0.410, 0.319, 0.906)  0.02
Ho (0.590, 0.681, 0.094)  0.02
Er (0.905, 0.338, 0.025)  0.00
Er (0.095, 0.025, 0.687)  0.00
Er (0.095, 0.313, 0.338)  0.00
Ho (0.410, 0.587, 0.681)  0.02
Er (0.905, 0.975, 0.313)  0.00
Er (0.171, 0.667, 0.333)  -0.02
Er (0.095, 0.662, 0.975)  0.00

Computed properties:
V: 487 Å³/cell
space group: P-3 (147)
magnetic moment: 1.22 μB/cell

=====

Version x
Material: CeHo6Er8
Method: DFT, GGA-PBE
State: relaxed

Lattice parameters (Å, degrees): 8.926 8.926 8.525 58.43 58.43 60.00
Site moments in Bohr magnetons follow the coordinates.
Element x y z (fractional)
Ho (0.460, 0.892, 0.875)  0.04
Er (0.423, 0.423, 0.731)  -0.04
Er (0.282, 0.888, 0.579)  0.03
Ho (0.228, 0.540, 0.125)  0.04
Ce (0.000, 0.000, 0.000)  0.59
Ho (0.772, 0.460, 0.875)  0.04
Ho (0.540, 0.108, 0.125)  0.04
Er (0.718, 0.112, 0.421)  0.03
Ho (0.108, 0.228, 0.125)  0.04
Ho (0.892, 0.772, 0.875)  0.04
Er (0.750, 0.718, 0.421)  0.03
Er (0.112, 0.750, 0.421)  0.03
Er (0.250, 0.282, 0.579)  0.03
Er (0.888, 0.250, 0.579)  0.03
Er (0.577, 0.577, 0.269)  -0.04

Computed properties:
V: 469 Å³/cell
space group: R-3 (148)
magnetic moment: 1.23 μB/cell

=====

Last place for stability: version w

=====

Version w
Material: CeHo12Er6
Method: DFT, GGA-PBE
State: relaxed

Lattice parameters (Å, degrees): 8.442 8.442 8.442 88.41 88.41 88.41
Site moments in Bohr magnetons follow the coordinates.
Element x y z (fractional)
Ho (0.563, 0.224, 0.458)  -0.01
Ce (0.000, 0.000, 0.000)  0.48
Ho (0.645, 0.989, 0.796)  0.03
Er (0.257, 0.093, 0.693)  0.01
Ho (0.542, 0.437, 0.776)  -0.01
Ho (0.458, 0.563, 0.224)  -0.01
Er (0.693, 0.257, 0.093)  0.01
Ho (0.204, 0.355, 0.011)  0.03
Ho (0.796, 0.645, 0.989)  0.03
Ho (0.989, 0.796, 0.645)  0.03
Er (0.907, 0.307, 0.743)  0.01
Er (0.093, 0.693, 0.257)  0.01
Ho (0.776, 0.542, 0.437)  -0.01
Er (0.307, 0.743, 0.907)  0.01
Ho (0.224, 0.458, 0.563)  -0.01
Ho (0.437, 0.776, 0.542)  -0.01
Ho (0.355, 0.011, 0.204)  0.03
Er (0.743, 0.907, 0.307)  0.01
Ho (0.011, 0.204, 0.355)  0.03

Computed properties:
V: 601 Å³/cell
space group: R-3 (148)
magnetic moment: 0.83 μB/cell

=====

Version x
Material: CeHo12Er6
Method: DFT, GGA-PBE
State: relaxed

Lattice parameters (Å, degrees): 8.619 8.619 8.619 99.26 99.26 99.26
Site moments in Bohr magnetons follow the coordinates.
Element x y z (fractional)
Ce (0.000, 0.000, 0.000)  -0.97
Ho (0.243, 0.500, 0.757)  0.02
Ho (0.351, 0.079, 0.351)  -0.01
Er (0.104, 0.663, 0.104)  -0.07
Ho (0.243, 0.757, 0.500)  0.02
Ho (0.757, 0.500, 0.243)  0.02
Ho (0.921, 0.649, 0.649)  -0.01
Ho (0.500, 0.757, 0.243)  0.02
Ho (0.079, 0.351, 0.351)  -0.01
Ho (0.649, 0.649, 0.921)  -0.01
Ho (0.757, 0.243, 0.500)  0.02
Ho (0.500, 0.243, 0.757)  0.02
Ho (0.351, 0.351, 0.079)  -0.01
Er (0.896, 0.896, 0.337)  -0.07
Er (0.104, 0.104, 0.663)  -0.07
Er (0.663, 0.104, 0.104)  -0.07
Er (0.337, 0.896, 0.896)  -0.07
Er (0.896, 0.337, 0.896)  -0.07
Ho (0.649, 0.921, 0.649)  -0.01

Computed properties:
V: 612 Å³/cell
space group: R-3m (166)
magnetic moment: 1.79 μB/cell

=====

Last place for stability: version x